Entry one
Density functional theory data (GGA-PBE) for an optimized crystal structure of YErNi4.

Unit cell a=5.371 b=5.371 c=7.972 alpha=90.00 beta=90.00 gamma=120.00
Atoms (fractional coordinates):
Y: 0.000 0.000 0.000
Y: 0.000 0.000 0.500
Er: 0.333 0.667 0.000
Er: 0.667 0.333 0.000
Ni: 0.000 0.500 0.270
Ni: 0.000 0.500 0.730
Ni: 0.333 0.667 0.500
Ni: 0.500 0.000 0.270
Ni: 0.500 0.000 0.730
Ni: 0.500 0.500 0.270
Ni: 0.500 0.500 0.730
Ni: 0.667 0.333 0.500


Entry two
Density functional theory data (GGA-PBE) for an optimized crystal structure of YErNi4.

Unit cell a=5.048 b=5.048 c=5.048 alpha=60.00 beta=60.00 gamma=60.00
Atoms (fractional coordinates):
Y: 0.000 0.000 0.000
Er: 0.250 0.250 0.250
Ni: 0.126 0.625 0.625
Ni: 0.625 0.126 0.625
Ni: 0.625 0.625 0.126
Ni: 0.625 0.625 0.625


The most stable of them is entry two.


Entry one
Density functional theory data (GGA-PBE) for an optimized crystal structure of DyGeH2O4.

Unit cell a=4.966 b=6.184 c=5.952 alpha=90.00 beta=102.62 gamma=90.00
Atoms (fractional coordinates):
Dy: 0.049 0.250 0.176
Dy: 0.951 0.750 0.824
Ge: 0.301 0.250 0.709
Ge: 0.699 0.750 0.291
H: 0.338 0.750 0.518
H: 0.500 0.000 0.000
H: 0.500 0.500 0.000
H: 0.662 0.250 0.482
O: 0.036 0.750 0.472
O: 0.255 0.024 0.936
O: 0.255 0.476 0.936
O: 0.449 0.250 0.431
O: 0.551 0.750 0.569
O: 0.745 0.524 0.064
O: 0.745 0.976 0.064
O: 0.964 0.250 0.528


Entry two
Density functional theory data (GGA-PBE) for an optimized crystal structure of DyGeH2O4.

Unit cell a=6.109 b=6.068 c=7.121 alpha=54.48 beta=53.94 gamma=71.58
Atoms (fractional coordinates):
Dy: 0.000 0.000 0.000
Dy: 0.250 0.250 0.250
Ge: 0.535 0.535 0.465
Ge: 0.785 0.785 0.715
H: 0.149 0.581 0.834
H: 0.416 0.813 0.101
H: 0.581 0.149 0.437
H: 0.813 0.416 0.669
O: 0.028 0.903 0.718
O: 0.248 0.406 0.864
O: 0.386 0.767 0.002
O: 0.406 0.248 0.483
O: 0.532 0.899 0.222
O: 0.767 0.386 0.844
O: 0.899 0.532 0.347
O: 0.903 0.028 0.351


The most stable of them is entry two.


Entry one
Density functional theory data (GGA-PBE) for an optimized crystal structure of NaMgCdIn.

Unit cell a=5.097 b=5.097 c=5.097 alpha=60.00 beta=60.00 gamma=60.00
Atoms (fractional coordinates):
Na: 0.000 0.000 0.000
Mg: 0.250 0.250 0.250
Cd: 0.500 0.500 0.500
In: 0.750 0.750 0.750


Entry two
Density functional theory data (GGA-PBE) for an optimized crystal structure of NaMgCdIn.

Unit cell a=5.097 b=5.097 c=5.097 alpha=60.00 beta=60.00 gamma=60.00
Atoms (fractional coordinates):
Na: 0.000 0.000 0.000
Mg: 0.750 0.750 0.750
Cd: 0.250 0.250 0.250
In: 0.500 0.500 0.500


The most stable of them is entry two.


Entry one
Density functional theory data (GGA-PBE) for an optimized crystal structure of CsGdSO.

Unit cell a=3.809 b=3.809 c=15.103 alpha=90.00 beta=90.00 gamma=120.00
Atoms (fractional coordinates):
Cs: 0.333 0.667 0.000
Cs: 0.667 0.333 0.500
Gd: 0.000 0.000 0.272
Gd: 0.000 0.000 0.772
S: 0.333 0.667 0.661
S: 0.667 0.333 0.161
O: 0.333 0.667 0.334
O: 0.667 0.333 0.834


Entry two
Density functional theory data (GGA-PBE) for an optimized crystal structure of CsGdSO.

Unit cell a=8.204 b=7.430 c=6.753 alpha=90.00 beta=104.10 gamma=90.00
Atoms (fractional coordinates):
Cs: 0.079 0.239 0.002
Cs: 0.079 0.261 0.502
Cs: 0.921 0.739 0.498
Cs: 0.921 0.761 0.998
Gd: 0.480 0.628 0.276
Gd: 0.480 0.872 0.776
Gd: 0.520 0.128 0.224
Gd: 0.520 0.372 0.724
S: 0.273 0.595 0.858
S: 0.273 0.905 0.358
S: 0.727 0.095 0.642
S: 0.727 0.405 0.142
O: 0.402 0.144 0.879
O: 0.402 0.356 0.379
O: 0.598 0.644 0.621
O: 0.598 0.856 0.121


The most stable of them is entry two.


Entry one
Density functional theory data (GGA-PBE) for an optimized crystal structure of Ir2Au.

Unit cell a=8.049 b=8.049 c=8.049 alpha=60.00 beta=60.00 gamma=60.00
Atoms (fractional coordinates):
Ir: 0.000 0.000 0.000
Ir: 0.000 0.000 0.500
Ir: 0.000 0.500 0.000
Ir: 0.500 0.000 0.000
Au: 0.125 0.125 0.125
Au: 0.875 0.875 0.875


Entry two
Density functional theory data (GGA-PBE) for an optimized crystal structure of Ir2Au.

Unit cell a=5.219 b=5.219 c=5.219 alpha=60.00 beta=60.00 gamma=60.00
Atoms (fractional coordinates):
Ir: 0.000 0.000 0.000
Ir: 0.000 0.000 0.500
Ir: 0.000 0.500 0.000
Ir: 0.500 0.000 0.000
Au: 0.375 0.375 0.375
Au: 0.625 0.625 0.625


The most stable of them is entry two.


Entry one
Density functional theory data (GGA-PBE) for an optimized crystal structure of GdZn.

Unit cell a=3.732 b=5.104 c=9.777 alpha=90.00 beta=90.00 gamma=90.00
Atoms (fractional coordinates):
Gd: 0.250 0.250 0.044
Gd: 0.250 0.750 0.291
Gd: 0.750 0.250 0.709
Gd: 0.750 0.750 0.956
Zn: 0.250 0.250 0.471
Zn: 0.250 0.750 0.714
Zn: 0.750 0.250 0.286
Zn: 0.750 0.750 0.529


Entry two
Density functional theory data (GGA-PBE) for an optimized crystal structure of GdZn.

Unit cell a=5.032 b=6.625 c=10.995 alpha=90.00 beta=90.00 gamma=90.00
Atoms (fractional coordinates):
Gd: 0.250 0.015 0.089
Gd: 0.250 0.250 0.371
Gd: 0.250 0.250 0.780
Gd: 0.250 0.485 0.089
Gd: 0.750 0.515 0.911
Gd: 0.750 0.750 0.220
Gd: 0.750 0.750 0.629
Gd: 0.750 0.985 0.911
Zn: 0.250 0.530 0.579
Zn: 0.250 0.750 0.374
Zn: 0.250 0.750 0.811
Zn: 0.250 0.970 0.579
Zn: 0.750 0.030 0.421
Zn: 0.750 0.250 0.189
Zn: 0.750 0.250 0.626
Zn: 0.750 0.470 0.421


Entry three
Density functional theory data (GGA-PBE) for an optimized crystal structure of GdZn.

Unit cell a=6.519 b=6.519 c=5.062 alpha=90.00 beta=90.00 gamma=120.00
Atoms (fractional coordinates):
Gd: 0.000 0.000 0.000
Gd: 0.345 0.172 0.500
Gd: 0.828 0.172 0.500
Gd: 0.828 0.655 0.500
Zn: 0.029 0.515 0.000
Zn: 0.333 0.667 0.500
Zn: 0.485 0.515 0.000
Zn: 0.485 0.971 0.000


The most stable of them is entry one.


Entry one
Density functional theory data (GGA-PBE) for an optimized crystal structure of Al2Co11.

Unit cell a=8.546 b=8.546 c=8.546 alpha=31.23 beta=31.23 gamma=31.23
Atoms (fractional coordinates):
Al: 0.149 0.149 0.149
Al: 0.851 0.851 0.851
Co: 0.046 0.046 0.046
Co: 0.082 0.589 0.589
Co: 0.336 0.336 0.336
Co: 0.411 0.411 0.918
Co: 0.411 0.918 0.411
Co: 0.500 0.500 0.500
Co: 0.589 0.082 0.589
Co: 0.589 0.589 0.082
Co: 0.664 0.664 0.664
Co: 0.918 0.411 0.411
Co: 0.954 0.954 0.954


Entry two
Density functional theory data (GGA-PBE) for an optimized crystal structure of Al2Co11.

Unit cell a=8.660 b=8.660 c=8.660 alpha=30.68 beta=30.68 gamma=30.68
Atoms (fractional coordinates):
Al: 0.050 0.050 0.050
Al: 0.950 0.950 0.950
Co: 0.085 0.592 0.592
Co: 0.152 0.152 0.152
Co: 0.335 0.335 0.335
Co: 0.408 0.408 0.915
Co: 0.408 0.915 0.408
Co: 0.500 0.500 0.500
Co: 0.592 0.085 0.592
Co: 0.592 0.592 0.085
Co: 0.665 0.665 0.665
Co: 0.848 0.848 0.848
Co: 0.915 0.408 0.408


The most stable of them is entry one.


Entry one
Density functional theory data (GGA-PBE) for an optimized crystal structure of YLuNO.

Unit cell a=3.384 b=3.384 c=4.732 alpha=90.00 beta=90.00 gamma=90.00
Atoms (fractional coordinates):
Y: 0.000 0.000 0.000
Lu: 0.500 0.500 0.500
N: 0.500 0.500 0.000
O: 0.000 0.000 0.500


Entry two
Density functional theory data (GGA-PBE) for an optimized crystal structure of YLuNO.

Unit cell a=4.319 b=4.319 c=7.976 alpha=90.00 beta=90.00 gamma=90.00
Atoms (fractional coordinates):
Y: 0.250 0.250 0.099
Y: 0.750 0.750 0.901
Lu: 0.250 0.750 0.500
Lu: 0.750 0.250 0.500
N: 0.250 0.250 0.569
N: 0.750 0.750 0.431
O: 0.250 0.750 0.000
O: 0.750 0.250 0.000


The most stable of them is entry one.


Entry one
Density functional theory data (GGA-PBE) for an optimized crystal structure of LiScAsIr.

Unit cell a=4.408 b=4.408 c=4.408 alpha=60.00 beta=60.00 gamma=60.00
Atoms (fractional coordinates):
Li: 0.000 0.000 0.000
Sc: 0.250 0.250 0.250
As: 0.750 0.750 0.750
Ir: 0.500 0.500 0.500


Entry two
Density functional theory data (GGA-PBE) for an optimized crystal structure of LiScAsIr.

Unit cell a=4.394 b=4.394 c=4.394 alpha=60.00 beta=60.00 gamma=60.00
Atoms (fractional coordinates):
Li: 0.000 0.000 0.000
Sc: 0.250 0.250 0.250
As: 0.500 0.500 0.500
Ir: 0.750 0.750 0.750


The most stable of them is entry one.


Entry one
Density functional theory data (GGA-PBE) for an optimized crystal structure of LiPaW.

Unit cell a=4.462 b=4.462 c=4.462 alpha=60.00 beta=60.00 gamma=60.00
Atoms (fractional coordinates):
Li: 0.000 0.000 0.000
Pa: 0.250 0.250 0.250
W: 0.500 0.500 0.500


Entry two
Density functional theory data (GGA-PBE) for an optimized crystal structure of LiPaW.

Unit cell a=4.417 b=4.417 c=4.417 alpha=60.00 beta=60.00 gamma=60.00
Atoms (fractional coordinates):
Li: 0.000 0.000 0.000
Pa: 0.500 0.500 0.500
W: 0.250 0.250 0.250


The most stable of them is entry two.


Entry one
Density functional theory data (GGA-PBE) for an optimized crystal structure of Be2AgPt2.

Unit cell a=6.163 b=6.163 c=6.163 alpha=146.46 beta=146.46 gamma=48.17
Atoms (fractional coordinates):
Be: 0.250 0.750 0.500
Be: 0.750 0.250 0.500
Ag: 0.000 0.000 0.000
Pt: 0.376 0.376 0.000
Pt: 0.624 0.624 0.000


Entry two
Density functional theory data (GGA-PBE) for an optimized crystal structure of Be2AgPt2.

Unit cell a=6.809 b=6.809 c=2.781 alpha=90.00 beta=90.00 gamma=90.00
Atoms (fractional coordinates):
Be: 0.134 0.366 0.000
Be: 0.366 0.866 0.000
Be: 0.634 0.134 0.000
Be: 0.866 0.634 0.000
Ag: 0.000 0.000 0.000
Ag: 0.500 0.500 0.000
Pt: 0.156 0.656 0.500
Pt: 0.344 0.156 0.500
Pt: 0.656 0.844 0.500
Pt: 0.844 0.344 0.500


The most stable of them is entry two.